Density functional theory data (GGA-PBE) for a relaxed structure of PaSnRu.

Summary:
Energy of formation from the pure elements   -32.71 kJ/mol of atoms
Crystal system   cubic

Structure (CIF):
```
data_PaSnRu
_cell_length_a 6.574
_cell_length_b 6.574
_cell_length_c 6.574
_cell_angle_alpha 90.00
_cell_angle_beta 90.00
_cell_angle_gamma 90.00
_symmetry_space_group_name_H-M 'F -4 3 m'
_symmetry_Int_Tables_number 216
_symmetry_space_group_name_Hall 'F -4 2 3'
loop_
_atom_site_label
_atom_site_type_symbol
_atom_site_fract_x
_atom_site_fract_y
_atom_site_fract_z
Pa1 Pa 0.000 0.000 0.000
Sn1 Sn 0.000 0.000 0.500
Ru1 Ru 0.250 0.250 0.250
```


Density functional theory data (GGA-PBE) for a relaxed structure of CaPd2Cl.

Summary:
Energy relative to the elements, uncorrected   -0.325 eV/atom
Crystal system   cubic

Structure (CIF):
```
data_CaPd2Cl
_cell_length_a 6.772
_cell_length_b 6.772
_cell_length_c 6.772
_cell_angle_alpha 90.00
_cell_angle_beta 90.00
_cell_angle_gamma 90.00
_symmetry_space_group_name_H-M 'F m -3 m'
_symmetry_Int_Tables_number 225
_symmetry_space_group_name_Hall '-F 4 2 3'
loop_
_atom_site_label
_atom_site_type_symbol
_atom_site_fract_x
_atom_site_fract_y
_atom_site_fract_z
Ca1 Ca 0.000 0.000 0.000
Pd1 Pd 0.250 0.250 0.250
Cl1 Cl 0.000 0.000 0.500
```


Density functional theory data (GGA-PBE) for a relaxed structure of Hf2MgSeBr.

Summary:
Energy relative to the elements, uncorrected   0.411 eV/atom
Crystal system   tetragonal

Structure (CIF):
```
data_Hf2MgSeBr
_cell_length_a 4.926
_cell_length_b 4.926
_cell_length_c 6.264
_cell_angle_alpha 90.00
_cell_angle_beta 90.00
_cell_angle_gamma 90.00
_symmetry_space_group_name_H-M 'P 4/m m m'
_symmetry_Int_Tables_number 123
_symmetry_space_group_name_Hall '-P 4 2'
loop_
_atom_site_label
_atom_site_type_symbol
_atom_site_fract_x
_atom_site_fract_y
_atom_site_fract_z
Hf1 Hf 0.000 0.500 0.000
Mg1 Mg 0.000 0.000 0.500
Se1 Se 0.500 0.500 0.000
Br1 Br 0.500 0.500 0.500
```


Number 1: total magnetic moment 0.00 μB/f.u.. Number 2: total magnetic moment 0.00 μB/f.u.. Number 3: total magnetic moment 0.00 μB/f.u..